Record 1
Density functional theory data (GGA-PBE) for a relaxed Pr4Dy5Ho4 crystal.

abc: 5.065 9.509 9.509
angles: 85.93 74.55 74.55
Fractional coordinates of all 13 atoms:
1 Ho 0.771 0.382 0.076
2 Ho 0.847 0.924 0.382
3 Dy 0.689 0.851 0.772
4 Dy 0.000 0.000 0.000
5 Dy 0.539 0.772 0.149
6 Ho 0.153 0.076 0.618
7 Pr 0.079 0.540 0.303
8 Pr 0.381 0.697 0.540
9 Dy 0.311 0.149 0.228
10 Dy 0.461 0.228 0.851
11 Ho 0.229 0.618 0.924
12 Pr 0.619 0.303 0.460
13 Pr 0.921 0.460 0.697

Calculated values
The symmetry is I4/m. The value obtained for the formation energy is 21 meV per atom.

***

Record 2
Density functional theory data (GGA-PBE) for a relaxed PrDyHo6 crystal.

abc: 8.569 9.607 6.436
angles: 41.76 48.26 55.88
Fractional coordinates of all 8 atoms:
1 Dy 0.000 0.000 0.000
2 Ho 0.454 0.248 0.344
3 Ho 0.954 0.454 0.839
4 Ho 0.752 0.954 0.748
5 Ho 0.046 0.546 0.161
6 Ho 0.546 0.752 0.656
7 Ho 0.248 0.046 0.252
8 Pr 0.500 0.500 0.500

Calculated values
The symmetry is R-3. The value obtained for the formation energy is 151 meV per atom.

***

Record 3
Density functional theory data (GGA-PBE) for a relaxed Pr4DyHo4 crystal.

abc: 5.669 9.017 8.992
angles: 44.43 71.63 71.68
Fractional coordinates of all 9 atoms:
1 Pr 0.867 0.310 0.957
2 Ho 0.929 0.768 0.374
3 Ho 0.071 0.232 0.626
4 Pr 0.133 0.690 0.043
5 Pr 0.720 0.846 0.715
6 Ho 0.379 0.575 0.667
7 Pr 0.280 0.154 0.285
8 Dy 0.500 0.000 0.000
9 Ho 0.621 0.425 0.333

Calculated values
The symmetry is C2/m. The value obtained for the formation energy is 106 meV per atom.